No. 1
Compound: Li9Cu4Au11
Source: Alexandria via LeMat-Bulk
Functional: GGA-PBE
Structure: optimized geometry

Cell lengths 12.9602, 19.9406, 2.9376 Å; angles 90.00, 90.00, 90.00 degrees
Space group Cmmm (No. 65)
One atom of each set of equivalent atoms:
Li 0.0000 0.0000 0.0000 [2 per cell]
Li 0.1110 0.2296 0.0000 [8 per cell]
Li 0.1281 0.4192 0.0000 [8 per cell]
Cu 0.1608 0.0990 0.0000 [8 per cell]
Au 0.0000 0.1306 0.5000 [4 per cell]
Au 0.0000 0.3290 0.5000 [4 per cell]
Au 0.0000 0.5000 0.5000 [2 per cell]
Au 0.2216 0.3204 0.5000 [8 per cell]
Au 0.2310 0.0000 0.5000 [4 per cell]

Its energy of formation from the pure elements is -9.13 eV/f.u. For the total magnetic moment, the calculation gives 0.000 μB per formula unit. The value obtained for the volume is 759.2 Å³ per cell.


No. 2
Compound: LiCu2Au
Source: Alexandria via LeMat-Bulk
Functional: GGA-PBE
Structure: optimized geometry

Cell lengths 5.3529, 5.4454, 7.5012 Å; angles 90.00, 90.00, 90.00 degrees
Space group F222 (No. 22)
One atom of each set of equivalent atoms:
Li 0.0000 0.0000 0.0000 [4 per cell]
Cu 0.0000 0.0000 0.5000 [4 per cell]
Cu 0.2500 0.2500 0.2500 [4 per cell]
Au 0.2500 0.2500 0.7500 [4 per cell]

Its energy of formation from the pure elements is -0.79 eV/f.u. For the total magnetic moment, the calculation gives 0.000 μB per formula unit. The value obtained for the volume is 218.7 Å³ per cell. The value obtained for the excess energy over the best structure of this formula in the dataset is 3 kJ/mol of formula units.


No. 3
Compound: LiCu2Au
Source: Alexandria via LeMat-Bulk
Functional: GGA-PBE
Structure: optimized geometry

Cell lengths 9.3639, 5.2990, 4.7154 Å; angles 90.00, 109.73, 90.00 degrees
Space group C2/c (No. 15)
One atom of each set of equivalent atoms:
Li 0.0000 0.1419 0.2500 [4 per cell]
Cu 0.2489 0.3875 0.2479 [8 per cell]
Au 0.0000 0.3456 0.7500 [4 per cell]

Its energy of formation from the pure elements is -0.64 eV/f.u. For the total magnetic moment, the calculation gives 0.000 μB per formula unit. The value obtained for the volume is 220.2 Å³ per cell. The value obtained for the excess energy over the best structure of this formula in the dataset is 17 kJ/mol of formula units.


No. 4
Compound: LiCu3Au4
Source: Alexandria via LeMat-Bulk
Functional: GGA-PBE
Structure: optimized geometry

Cell lengths 4.0833, 4.0833, 14.5218 Å; angles 90.00, 90.00, 90.00 degrees
Space group I4/mmm (No. 139)
One atom of each set of equivalent atoms:
Li 0.0000 0.0000 0.0000 [2 per cell]
Cu 0.0000 0.0000 0.2508 [4 per cell]
Cu 0.0000 0.0000 0.5000 [2 per cell]
Au 0.0000 0.5000 0.1251 [8 per cell]

Its energy of formation from the pure elements is -1.41 eV/f.u. For the total magnetic moment, the calculation gives 0.000 μB per formula unit. The value obtained for the volume is 242.1 Å³ per cell.


No. 5
Compound: LiCu6Au12
Source: Alexandria via LeMat-Bulk
Functional: GGA-PBE
Structure: optimized geometry

Cell lengths 12.3537, 12.3537, 6.9523 Å; angles 90.00, 90.00, 120.00 degrees
Space group R-3 (No. 148, hexagonal axes)
One atom of each set of equivalent atoms:
Li 0.0000 0.0000 0.0000 [3 per cell]
Cu 0.0341 0.2831 0.3278 [18 per cell]
Au 0.0060 0.1383 0.6649 [18 per cell]
Au 0.0657 0.5598 0.6699 [18 per cell]

Its energy of formation from the pure elements is -1.71 eV/f.u. For the total magnetic moment, the calculation gives 0.000 μB per formula unit. The value obtained for the volume is 918.9 Å³ per cell. The value obtained for the excess energy over the best structure of this formula in the dataset is 0 kJ/mol of formula units.


No. 6
Compound: LiCu2Au
Source: Alexandria via LeMat-Bulk
Functional: GGA-PBE
Structure: optimized geometry

Cell lengths 2.7952, 2.7952, 25.8580 Å; angles 90.00, 90.00, 120.00 degrees
Space group R-3m (No. 166, hexagonal axes)
One atom of each set of equivalent atoms:
Li 0.0000 0.0000 0.0000 [3 per cell]
Cu 0.0000 0.0000 0.2527 [6 per cell]
Au 0.0000 0.0000 0.5000 [3 per cell]

Its energy of formation from the pure elements is 0.25 eV/f.u. For the total magnetic moment, the calculation gives 0.000 μB per formula unit. The value obtained for the volume is 175.0 Å³ per cell. The value obtained for the excess energy over the best structure of this formula in the dataset is 104 kJ/mol of formula units.


What did the first record say?
Compound: Li9Cu4Au11
Source: Alexandria via LeMat-Bulk
Functional: GGA-PBE
Structure: optimized geometry

Cell lengths 12.9602, 19.9406, 2.9376 Å; angles 90.00, 90.00, 90.00 degrees
Space group Cmmm (No. 65)
One atom of each set of equivalent atoms:
Li 0.0000 0.0000 0.0000 [2 per cell]
Li 0.1110 0.2296 0.0000 [8 per cell]
Li 0.1281 0.4192 0.0000 [8 per cell]
Cu 0.1608 0.0990 0.0000 [8 per cell]
Au 0.0000 0.1306 0.5000 [4 per cell]
Au 0.0000 0.3290 0.5000 [4 per cell]
Au 0.0000 0.5000 0.5000 [2 per cell]
Au 0.2216 0.3204 0.5000 [8 per cell]
Au 0.2310 0.0000 0.5000 [4 per cell]

Its energy of formation from the pure elements is -9.13 eV/f.u. For the total magnetic moment, the calculation gives 0.000 μB per formula unit. The value obtained for the volume is 759.2 Å³ per cell.